This record from the Alexandria database describes a relaxed MgRe2Au crystal. The functional is GGA-PBE.

```
MgRe2Au
1.0
2.765 -0.036 0.000
-1.094 2.539 0.000
0.000 0.000 9.362
Au Re Mg
1 2 1
direct
0.000 0.000 0.505
0.000 0.000 0.007
0.500 0.500 0.234
0.500 0.500 0.754
```

Results
Crystal system ... orthorhombic
Energy relative to the elements ... 221 meV/atom
D(E_F) ... 2.43 states/eV per cell
Calculated total energy ... -28.9 eV/cell